First-principles (PBE) data for a relaxed Cs2MnCl4 crystal, as listed in the Alexandria database.

Properties
Calculated volume = 32.95 Å³ per atom
E_form (uncorrected) = -1.635 eV/atom
E above lowest polymorph = 0.57 kcal/mol of atoms

a b c (Å): 5.198 5.198 9.293
angles (deg): 73.76 73.76 90.00
Sites, in units of the cell vectors:
Cl 0.500 0.000 0.000
Cl 0.000 0.500 0.000
Cl 0.852 0.852 0.296
Cl 0.148 0.148 0.704
Mn 0.000 0.000 0.000
Cs 0.643 0.643 0.714
Cs 0.357 0.357 0.286